(1)
Crystalline Na5Ni8O16 at its relaxed geometry, computed with GGA-PBEsol.

a = 5.7569 Å, b = 6.8083 Å, c = 8.1266 Å
α = 81.75°, β = 78.29°, γ = 79.36°
Space group P-1 (No. 2)
Asymmetric unit:
Na  0.0000  0.0000  0.0000
Na  0.0000  0.5000  0.5000
Na  0.2958  0.2746  0.7263
Na  0.5000  0.0000  0.0000
Ni  0.1226  0.8794  0.6258
Ni  0.1265  0.3740  0.1249
Ni  0.3732  0.6288  0.8766
Ni  0.3775  0.1206  0.3721
O  0.0730  0.6522  0.0284
O  0.0975  0.1483  0.5357
O  0.1551  0.6107  0.7139
O  0.1730  0.0942  0.2195
O  0.3308  0.3923  0.2761
O  0.3385  0.9049  0.7941
O  0.4071  0.3565  0.9617
O  0.4182  0.8523  0.4785

(2)
Crystalline Na2Ni2O3 at its relaxed geometry, computed with GGA-PBEsol.

a = 5.6604 Å, b = 5.2526 Å, c = 6.0951 Å
α = 90.00°, β = 117.91°, γ = 90.00°
Space group P2_1/c (No. 14)
Asymmetric unit:
Na  0.1585  0.1528  0.3943
Ni  0.3387  0.6447  0.5878
O  0.0000  0.0000  0.0000
O  0.3422  0.5732  0.2754

(3)
Crystalline Na6NiO4 at its relaxed geometry, computed with GGA-PBEsol.

Computed properties:
As for the energy above the lowest structure with this stoichiometry: 0.0 kJ/mol of formula units.

a = 7.4226 Å, b = 13.3218 Å, c = 5.7963 Å
α = 90.00°, β = 90.00°, γ = 90.00°
Space group Cmc2_1 (No. 36)
Asymmetric unit:
Na  0.0000  0.0390  0.0000
Na  0.0000  0.3625  0.6921
Na  0.1998  0.2296  0.0301
Na  0.2116  0.4268  0.1834
Ni  0.0000  0.1644  0.4118
O  0.0000  0.1793  0.7425
O  0.0000  0.3071  0.3088
O  0.2063  0.0884  0.2943

| no. | ΔE_f (raw) (eV per atom) |
| --- | --- |
| 1 | -1.062 |
| 2 | -0.884 |
| 3 | -1.092 |